Record 1
# ZrCuReSi PBE relaxed
data_ZrCuReSi
_chemical_formula_sum 'Zr1 Cu1 Re1 Si1'
_cell_length_a 4.463
_cell_length_b 4.463
_cell_length_c 4.463
_cell_angle_alpha 60.00
_cell_angle_beta 60.00
_cell_angle_gamma 60.00
_symmetry_space_group_name_H-M 'P 1'
_symmetry_Int_Tables_number 1
loop_
_symmetry_equiv_pos_as_xyz
'x,y,z'
loop_
_atom_site_label
_atom_site_type_symbol
_atom_site_fract_x
_atom_site_fract_y
_atom_site_fract_z
Cu1 Cu 0.750 0.750 0.750
Re1 Re 0.500 0.500 0.500
Zr1 Zr 0.250 0.250 0.250
Si1 Si 0.000 0.000 0.000
# Volume in Å³ per cell: 62.9
# E_tot in hartree per atom: -0.267
# Polymorph energy (0 for the lowest one) in meV per atom: 286


Record 2
# Dy4Er3Te2Pd2 PBE relaxed
data_Dy4Er3Te2Pd2
_chemical_formula_sum 'Dy4 Er3 Te2 Pd2'
_cell_length_a 9.430
_cell_length_b 9.430
_cell_length_c 9.430
_cell_angle_alpha 155.94
_cell_angle_beta 66.69
_cell_angle_gamma 118.85
_symmetry_space_group_name_H-M 'P 1'
_symmetry_Int_Tables_number 1
loop_
_symmetry_equiv_pos_as_xyz
'x,y,z'
loop_
_atom_site_label
_atom_site_type_symbol
_atom_site_fract_x
_atom_site_fract_y
_atom_site_fract_z
Er1 Er 0.717 0.899 0.818
Dy1 Dy 0.115 0.259 0.856
Er2 Er 0.023 0.523 0.500
Te1 Te 0.759 0.759 0.000
Dy2 Dy 0.477 0.106 0.372
Er3 Er 0.081 0.899 0.182
Pd1 Pd 0.855 0.593 0.262
Dy3 Dy 0.403 0.259 0.144
Dy4 Dy 0.734 0.106 0.628
Te2 Te 0.359 0.859 0.500
Pd2 Pd 0.331 0.593 0.738
# Volume in Å³ per cell: 297.1
# E_tot in hartree per atom: -0.194
# Polymorph energy (0 for the lowest one) in meV per atom: 0


Record 3
# SmTlRe PBE relaxed
data_SmTlRe
_chemical_formula_sum 'Sm1 Tl1 Re1'
_cell_length_a 4.892
_cell_length_b 4.892
_cell_length_c 4.892
_cell_angle_alpha 60.00
_cell_angle_beta 60.00
_cell_angle_gamma 60.00
_symmetry_space_group_name_H-M 'P 1'
_symmetry_Int_Tables_number 1
loop_
_symmetry_equiv_pos_as_xyz
'x,y,z'
loop_
_atom_site_label
_atom_site_type_symbol
_atom_site_fract_x
_atom_site_fract_y
_atom_site_fract_z
Re1 Re 0.250 0.250 0.250
Sm1 Sm 0.000 0.000 0.000
Tl1 Tl 0.750 0.750 0.750
# Volume in Å³ per cell: 82.8
# E_tot in hartree per atom: -0.190
# Polymorph energy (0 for the lowest one) in meV per atom: 351


Record 4
# GdYCu2B2N2 PBE relaxed
data_GdYCu2B2N2
_chemical_formula_sum 'Gd1 Y1 Cu2 B2 N2'
_cell_length_a 3.524
_cell_length_b 3.524
_cell_length_c 7.714
_cell_angle_alpha 90.00
_cell_angle_beta 90.00
_cell_angle_gamma 90.00
_symmetry_space_group_name_H-M 'P 1'
_symmetry_Int_Tables_number 1
loop_
_symmetry_equiv_pos_as_xyz
'x,y,z'
loop_
_atom_site_label
_atom_site_type_symbol
_atom_site_fract_x
_atom_site_fract_y
_atom_site_fract_z
Y1 Y 0.500 0.500 0.835
Gd1 Gd 0.000 0.000 0.166
Cu1 Cu 0.000 0.500 0.500
Cu2 Cu 0.500 0.000 0.500
B1 B 0.500 0.500 0.326
B2 B 0.000 0.000 0.673
N1 N 0.500 0.500 0.139
N2 N 0.000 0.000 0.860
# Volume in Å³ per cell: 95.8
# E_tot in hartree per atom: -0.255


Record 5
# HoZrAu4 PBE relaxed
data_HoZrAu4
_chemical_formula_sum 'Ho1 Zr1 Au4'
_cell_length_a 3.647
_cell_length_b 3.647
_cell_length_c 8.931
_cell_angle_alpha 90.00
_cell_angle_beta 90.00
_cell_angle_gamma 90.00
_symmetry_space_group_name_H-M 'P 1'
_symmetry_Int_Tables_number 1
loop_
_symmetry_equiv_pos_as_xyz
'x,y,z'
loop_
_atom_site_label
_atom_site_type_symbol
_atom_site_fract_x
_atom_site_fract_y
_atom_site_fract_z
Au1 Au 0.000 0.000 0.838
Au2 Au 0.500 0.500 0.671
Ho1 Ho 0.000 0.000 0.500
Au3 Au 0.500 0.500 0.329
Zr1 Zr 0.500 0.500 0.000
Au4 Au 0.000 0.000 0.162
# Volume in Å³ per cell: 118.8
# E_tot in hartree per atom: -0.187
# Calculated formation energy in kJ/mol of atoms: -70


Record 6
# AlZnCdCo PBE relaxed
data_AlZnCdCo
_chemical_formula_sum 'Al1 Zn1 Cd1 Co1'
_cell_length_a 4.373
_cell_length_b 4.373
_cell_length_c 4.373
_cell_angle_alpha 60.00
_cell_angle_beta 60.00
_cell_angle_gamma 60.00
_symmetry_space_group_name_H-M 'P 1'
_symmetry_Int_Tables_number 1
loop_
_symmetry_equiv_pos_as_xyz
'x,y,z'
loop_
_atom_site_label
_atom_site_type_symbol
_atom_site_fract_x
_atom_site_fract_y
_atom_site_fract_z
Zn1 Zn 0.250 0.250 0.250
Co1 Co 0.750 0.750 0.750
Cd1 Cd 0.500 0.500 0.500
Al1 Al 0.000 0.000 0.000
# Volume in Å³ per cell: 59.1
# E_tot in hartree per atom: -0.116


Record 7
# NbPdPt PBE relaxed
data_NbPdPt
_chemical_formula_sum 'Nb2 Pd2 Pt2'
_cell_length_a 2.839
_cell_length_b 3.979
_cell_length_c 8.510
_cell_angle_alpha 90.00
_cell_angle_beta 90.00
_cell_angle_gamma 90.00
_symmetry_space_group_name_H-M 'P 1'
_symmetry_Int_Tables_number 1
loop_
_symmetry_equiv_pos_as_xyz
'x,y,z'
loop_
_atom_site_label
_atom_site_type_symbol
_atom_site_fract_x
_atom_site_fract_y
_atom_site_fract_z
Pd1 Pd 0.000 0.000 0.081
Pt1 Pt 0.000 0.000 0.411
Nb1 Nb 0.000 0.000 0.749
Pd2 Pd 0.500 0.500 0.919
Nb2 Nb 0.500 0.500 0.251
Pt2 Pt 0.500 0.500 0.589
# Volume in Å³ per cell: 96.1
# E_tot in hartree per atom: -0.282
# Calculated formation energy in kJ/mol of atoms: -55
# Polymorph energy (0 for the lowest one) in meV per atom: 34


Record 8
# Sr2LiIrS6 PBE relaxed
data_Sr2LiIrS6
_chemical_formula_sum 'Sr2 Li1 Ir1 S6'
_cell_length_a 5.510
_cell_length_b 6.816
_cell_length_c 6.855
_cell_angle_alpha 93.71
_cell_angle_beta 113.41
_cell_angle_gamma 113.46
_symmetry_space_group_name_H-M 'P 1'
_symmetry_Int_Tables_number 1
loop_
_symmetry_equiv_pos_as_xyz
'x,y,z'
loop_
_atom_site_label
_atom_site_type_symbol
_atom_site_fract_x
_atom_site_fract_y
_atom_site_fract_z
S1 S 0.596 0.331 0.866
S2 S 0.404 0.669 0.134
S3 S 0.453 0.174 0.285
S4 S 0.000 0.822 0.714
Ir1 Ir 0.500 0.000 0.000
Li1 Li 0.500 0.500 0.500
Sr1 Sr 0.989 0.727 0.250
S5 S 0.547 0.826 0.715
S6 S 0.000 0.178 0.286
Sr2 Sr 0.011 0.273 0.750
# Volume in Å³ per cell: 209.0
# E_tot in hartree per atom: -0.176
# Polymorph energy (0 for the lowest one) in meV per atom: 0


Record 9
# NbCoBPt PBE relaxed
data_NbCoBPt
_chemical_formula_sum 'Nb1 Co1 B1 Pt1'
_cell_length_a 4.225
_cell_length_b 4.225
_cell_length_c 4.225
_cell_angle_alpha 60.00
_cell_angle_beta 60.00
_cell_angle_gamma 60.00
_symmetry_space_group_name_H-M 'P 1'
_symmetry_Int_Tables_number 1
loop_
_symmetry_equiv_pos_as_xyz
'x,y,z'
loop_
_atom_site_label
_atom_site_type_symbol
_atom_site_fract_x
_atom_site_fract_y
_atom_site_fract_z
B1 B 0.000 0.000 0.000
Nb1 Nb 0.500 0.500 0.500
Co1 Co 0.750 0.750 0.750
Pt1 Pt 0.250 0.250 0.250
# Volume in Å³ per cell: 53.3
# E_tot in hartree per atom: -0.262
# Polymorph energy (0 for the lowest one) in meV per atom: 80


Record 10
# Dy3Bi2S PBE relaxed
data_Dy3Bi2S
_chemical_formula_sum 'Dy3 Bi2 S1'
_cell_length_a 4.269
_cell_length_b 4.269
_cell_length_c 10.567
_cell_angle_alpha 90.00
_cell_angle_beta 90.00
_cell_angle_gamma 120.00
_symmetry_space_group_name_H-M 'P 1'
_symmetry_Int_Tables_number 1
loop_
_symmetry_equiv_pos_as_xyz
'x,y,z'
loop_
_atom_site_label
_atom_site_type_symbol
_atom_site_fract_x
_atom_site_fract_y
_atom_site_fract_z
Dy1 Dy 0.333 0.667 0.638
Bi1 Bi 0.333 0.667 0.181
Bi2 Bi 0.667 0.333 0.819
Dy2 Dy 0.667 0.333 0.362
S1 S 0.000 0.000 0.500
Dy3 Dy 0.000 0.000 0.000
# Volume in Å³ per cell: 166.8
# E_tot in hartree per atom: -0.203


Record 11
# La2DyS3 PBE relaxed
data_La2DyS3
_chemical_formula_sum 'La2 Dy1 S3'
_cell_length_a 4.050
_cell_length_b 4.050
_cell_length_c 10.055
_cell_angle_alpha 90.00
_cell_angle_beta 90.00
_cell_angle_gamma 120.00
_symmetry_space_group_name_H-M 'P 1'
_symmetry_Int_Tables_number 1
loop_
_symmetry_equiv_pos_as_xyz
'x,y,z'
loop_
_atom_site_label
_atom_site_type_symbol
_atom_site_fract_x
_atom_site_fract_y
_atom_site_fract_z
S1 S 0.333 0.667 0.650
Dy1 Dy 0.000 0.000 0.500
La1 La 0.333 0.667 0.172
S2 S 0.667 0.333 0.350
S3 S 0.000 0.000 0.000
La2 La 0.667 0.333 0.828
# Volume in Å³ per cell: 142.9
# E_tot in hartree per atom: -0.242


Record 12
# Fe2ReSn PBE relaxed
data_Fe2ReSn
_chemical_formula_sum 'Fe2 Re1 Sn1'
_cell_length_a 4.354
_cell_length_b 4.354
_cell_length_c 4.354
_cell_angle_alpha 60.00
_cell_angle_beta 60.00
_cell_angle_gamma 60.00
_symmetry_space_group_name_H-M 'P 1'
_symmetry_Int_Tables_number 1
loop_
_symmetry_equiv_pos_as_xyz
'x,y,z'
loop_
_atom_site_label
_atom_site_type_symbol
_atom_site_fract_x
_atom_site_fract_y
_atom_site_fract_z
Sn1 Sn 0.500 0.500 0.500
Fe1 Fe 0.000 0.000 0.000
Fe2 Fe 0.750 0.750 0.750
Re1 Re 0.250 0.250 0.250
# Volume in Å³ per cell: 58.4
# E_tot in hartree per atom: -0.291


Record 13
# RbPmNO PBE relaxed
data_RbPmNO
_chemical_formula_sum 'Rb2 Pm2 N2 O2'
_cell_length_a 4.096
_cell_length_b 6.385
_cell_length_c 7.611
_cell_angle_alpha 90.00
_cell_angle_beta 90.00
_cell_angle_gamma 90.00
_symmetry_space_group_name_H-M 'P 1'
_symmetry_Int_Tables_number 1
loop_
_symmetry_equiv_pos_as_xyz
'x,y,z'
loop_
_atom_site_label
_atom_site_type_symbol
_atom_site_fract_x
_atom_site_fract_y
_atom_site_fract_z
N1 N 0.000 0.439 0.708
O1 O 0.500 0.342 0.105
N2 N 0.000 0.939 0.292
Rb1 Rb 0.000 0.472 0.330
O2 O 0.500 0.842 0.895
Pm1 Pm 0.500 0.501 0.847
Rb2 Rb 0.000 0.972 0.670
Pm2 Pm 0.500 0.001 0.153
# Volume in Å³ per cell: 199.0
# E_tot in hartree per atom: -0.217
# Polymorph energy (0 for the lowest one) in meV per atom: 9


Record 14
# BaHgTeO PBE relaxed
data_BaHgTeO
_chemical_formula_sum 'Ba4 Hg4 Te4 O4'
_cell_length_a 8.616
_cell_length_b 8.132
_cell_length_c 7.146
_cell_angle_alpha 90.00
_cell_angle_beta 90.00
_cell_angle_gamma 90.00
_symmetry_space_group_name_H-M 'P 1'
_symmetry_Int_Tables_number 1
loop_
_symmetry_equiv_pos_as_xyz
'x,y,z'
loop_
_atom_site_label
_atom_site_type_symbol
_atom_site_fract_x
_atom_site_fract_y
_atom_site_fract_z
Te1 Te 0.590 0.494 0.769
Hg1 Hg 0.115 0.215 0.950
Ba1 Ba 0.720 0.843 0.034
Hg2 Hg 0.615 0.285 0.050
Hg3 Hg 0.885 0.715 0.550
Te2 Te 0.910 0.506 0.269
Ba2 Ba 0.780 0.157 0.534
Hg4 Hg 0.385 0.785 0.450
Te3 Te 0.410 0.994 0.731
Ba3 Ba 0.220 0.657 0.966
O1 O 0.368 0.592 0.263
O2 O 0.868 0.908 0.737
Te4 Te 0.090 0.006 0.231
O3 O 0.132 0.408 0.763
Ba4 Ba 0.280 0.343 0.466
O4 O 0.632 0.092 0.237
# Volume in Å³ per cell: 500.8
# E_tot in hartree per atom: -0.139
# Polymorph energy (0 for the lowest one) in meV per atom: 109


Record 15
# MgBeFeSn PBE relaxed
data_MgBeFeSn
_chemical_formula_sum 'Mg1 Be1 Fe1 Sn1'
_cell_length_a 4.351
_cell_length_b 4.351
_cell_length_c 4.351
_cell_angle_alpha 60.00
_cell_angle_beta 60.00
_cell_angle_gamma 60.00
_symmetry_space_group_name_H-M 'P 1'
_symmetry_Int_Tables_number 1
loop_
_symmetry_equiv_pos_as_xyz
'x,y,z'
loop_
_atom_site_label
_atom_site_type_symbol
_atom_site_fract_x
_atom_site_fract_y
_atom_site_fract_z
Mg1 Mg 0.500 0.500 0.500
Be1 Be 0.250 0.250 0.250
Sn1 Sn 0.000 0.000 0.000
Fe1 Fe 0.750 0.750 0.750
# Volume in Å³ per cell: 58.2
# E_tot in hartree per atom: -0.149
# Polymorph energy (0 for the lowest one) in meV per atom: 0


Record 16
# NbNiSbAu PBE relaxed
data_NbNiSbAu
_chemical_formula_sum 'Nb1 Ni1 Sb1 Au1'
_cell_length_a 4.617
_cell_length_b 4.617
_cell_length_c 4.617
_cell_angle_alpha 60.00
_cell_angle_beta 60.00
_cell_angle_gamma 60.00
_symmetry_space_group_name_H-M 'P 1'
_symmetry_Int_Tables_number 1
loop_
_symmetry_equiv_pos_as_xyz
'x,y,z'
loop_
_atom_site_label
_atom_site_type_symbol
_atom_site_fract_x
_atom_site_fract_y
_atom_site_fract_z
Nb1 Nb 0.250 0.250 0.250
Au1 Au 0.500 0.500 0.500
Sb1 Sb 0.000 0.000 0.000
Ni1 Ni 0.750 0.750 0.750
# Volume in Å³ per cell: 69.6
# E_tot in hartree per atom: -0.210


Record 17
# NaCuTe2PdS PBE relaxed
data_NaCuTe2PdS
_chemical_formula_sum 'Na2 Cu2 Te4 Pd2 S2'
_cell_length_a 6.854
_cell_length_b 6.854
_cell_length_c 10.209
_cell_angle_alpha 90.00
_cell_angle_beta 90.00
_cell_angle_gamma 147.49
_symmetry_space_group_name_H-M 'P 1'
_symmetry_Int_Tables_number 1
loop_
_symmetry_equiv_pos_as_xyz
'x,y,z'
loop_
_atom_site_label
_atom_site_type_symbol
_atom_site_fract_x
_atom_site_fract_y
_atom_site_fract_z
Te1 Te 0.146 0.854 0.534
Na1 Na 0.768 0.232 0.750
Te2 Te 0.854 0.146 0.034
Te3 Te 0.146 0.854 0.966
Cu1 Cu 0.037 0.963 0.750
Pd1 Pd 0.500 0.500 0.000
Na2 Na 0.232 0.768 0.250
Te4 Te 0.854 0.146 0.466
S1 S 0.448 0.552 0.750
Pd2 Pd 0.500 0.500 0.500
S2 S 0.552 0.448 0.250
Cu2 Cu 0.963 0.037 0.250
# Volume in Å³ per cell: 257.8
# E_tot in hartree per atom: -0.139


Record 18
# SrAcGd PBE relaxed
data_SrAcGd
_chemical_formula_sum 'Sr1 Ac1 Gd1'
_cell_length_a 6.009
_cell_length_b 6.009
_cell_length_c 6.009
_cell_angle_alpha 60.00
_cell_angle_beta 60.00
_cell_angle_gamma 60.00
_symmetry_space_group_name_H-M 'P 1'
_symmetry_Int_Tables_number 1
loop_
_symmetry_equiv_pos_as_xyz
'x,y,z'
loop_
_atom_site_label
_atom_site_type_symbol
_atom_site_fract_x
_atom_site_fract_y
_atom_site_fract_z
Ac1 Ac 0.000 0.000 0.000
Gd1 Gd 0.250 0.250 0.250
Sr1 Sr 0.750 0.750 0.750
# Volume in Å³ per cell: 153.4
# E_tot in hartree per atom: -0.098


Record 19
# Ba3Tb2Se7 PBE relaxed
data_Ba3Tb2Se7
_chemical_formula_sum 'Ba6 Tb4 Se14'
_cell_length_a 14.017
_cell_length_b 14.017
_cell_length_c 7.740
_cell_angle_alpha 90.00
_cell_angle_beta 90.00
_cell_angle_gamma 147.92
_symmetry_space_group_name_H-M 'P 1'
_symmetry_Int_Tables_number 1
loop_
_symmetry_equiv_pos_as_xyz
'x,y,z'
loop_
_atom_site_label
_atom_site_type_symbol
_atom_site_fract_x
_atom_site_fract_y
_atom_site_fract_z
Ba1 Ba 0.500 0.000 0.000
Ba2 Ba 0.831 0.683 0.500
Tb1 Tb 0.604 0.895 0.500
Se1 Se 0.343 0.657 0.250
Tb2 Tb 0.895 0.604 0.000
Ba3 Ba 0.000 0.500 0.500
Se2 Se 0.159 0.841 0.250
Ba4 Ba 0.169 0.317 0.500
Se3 Se 0.159 0.841 0.750
Se4 Se 0.657 0.343 0.250
Se5 Se 0.803 0.715 0.000
Se6 Se 0.285 0.197 0.500
Se7 Se 0.841 0.159 0.250
Tb3 Tb 0.396 0.105 0.500
Se8 Se 0.343 0.657 0.750
Tb4 Tb 0.105 0.396 0.000
Ba5 Ba 0.317 0.169 0.000
Se9 Se 0.000 0.500 0.000
Ba6 Ba 0.683 0.831 0.000
Se10 Se 0.841 0.159 0.750
Se11 Se 0.715 0.803 0.500
Se12 Se 0.657 0.343 0.750
Se13 Se 0.197 0.285 0.000
Se14 Se 0.500 0.000 0.500
# Volume in Å³ per cell: 807.8
# E_tot in hartree per atom: -0.181


Record 20
# FeP3S6 PBE relaxed
data_FeP3S6
_chemical_formula_sum 'Fe2 P6 S12'
_cell_length_a 5.838
_cell_length_b 5.838
_cell_length_c 12.339
_cell_angle_alpha 90.03
_cell_angle_beta 90.03
_cell_angle_gamma 59.91
_symmetry_space_group_name_H-M 'P 1'
_symmetry_Int_Tables_number 1
loop_
_symmetry_equiv_pos_as_xyz
'x,y,z'
loop_
_atom_site_label
_atom_site_type_symbol
_atom_site_fract_x
_atom_site_fract_y
_atom_site_fract_z
P1 P 0.997 0.003 0.500
S1 S 0.350 0.666 0.137
P2 P 0.666 0.667 0.449
S2 S 0.017 0.334 0.862
S3 S 0.650 0.016 0.862
S4 S 0.666 0.350 0.363
S5 S 0.350 0.984 0.362
S6 S 0.650 0.334 0.637
S7 S 0.984 0.350 0.138
S8 S 0.666 0.983 0.138
P3 P 0.667 0.666 0.051
P4 P 0.334 0.333 0.949
Fe1 Fe 0.667 0.667 0.250
P5 P 0.333 0.334 0.551
S9 S 0.016 0.650 0.638
S10 S 0.334 0.016 0.638
P6 P 0.003 0.997 0.000
Fe2 Fe 0.333 0.333 0.750
S11 S 0.984 0.666 0.362
S12 S 0.334 0.650 0.863
# Volume in Å³ per cell: 363.8
# E_tot in hartree per atom: -0.176